# KScS3 GGA-PBEsol optimized geometry
data_KScS3
_chemical_formula_sum 'K1 Sc1 S3'
_space_group_name_H-M_alt 'P 1'
_space_group_IT_number 1
_space_group_name_Hall 'P 1'
_cell_length_a 4.997
_cell_length_b 4.997
_cell_length_c 4.997
_cell_angle_alpha 90.00
_cell_angle_beta 90.00
_cell_angle_gamma 90.00
loop_
_atom_site_label
_atom_site_type_symbol
_atom_site_fract_x
_atom_site_fract_y
_atom_site_fract_z
K1 K 0.000 0.000 0.000
Sc1 Sc 0.500 0.500 0.500
S1 S 0.000 0.000 0.500
S2 S 0.000 0.500 0.000
S3 S 0.500 0.000 0.000
# - Space group: Pm-3m
# - Formation energy without anion corrections: 0.633 eV/atom
# - Total magnetic moment: 0.00 μB/f.u.